## ZrCdFe2 (PBE-GGA)

Data for a geometry-optimized ZrCdFe2 structure.

abc: 2.837 2.837 8.354
angles: 90.00 90.00 97.24
Each line ends with the local moment (μB).
Element x y z (fractional)
Zr  0.500  0.500  0.250  -0.30
Fe  0.000  0.000  0.503  2.44
Fe  0.000  0.000  0.997  2.44
Cd  0.500  0.500  0.750  -0.05

Computed properties:
Total DFT energy (no corrections) ... -6.313 eV per atom
Crystal system ... orthorhombic

## YEr2Ge2Rh5 (PBE-GGA)

Data for a geometry-optimized YEr2Ge2Rh5 structure.

abc: 3.669 9.918 9.918
angles: 90.00 90.00 90.00
Element x y z (fractional)
Er  0.000  0.827  0.673
Er  0.000  0.673  0.173
Er  0.000  0.173  0.327
Er  0.000  0.327  0.827
Ge  0.000  0.623  0.877
Ge  0.000  0.123  0.623
Ge  0.000  0.877  0.377
Ge  0.000  0.377  0.123
Rh  0.500  0.070  0.783
Rh  0.500  0.570  0.717
Rh  0.500  0.000  0.500
Rh  0.500  0.717  0.430
Rh  0.500  0.430  0.283
Rh  0.500  0.217  0.070
Rh  0.500  0.283  0.570
Rh  0.500  0.500  0.000
Rh  0.500  0.930  0.217
Rh  0.500  0.783  0.930
Y  0.000  0.500  0.500
Y  0.000  0.000  0.000

Computed properties:
Total DFT energy (no corrections) ... -7.023 eV per atom
Crystal system ... tetragonal

## YPd2Rh2 (PBE-GGA)

Data for a geometry-optimized YPd2Rh2 structure.

abc: 7.157 7.157 3.417
angles: 90.00 90.00 90.00
Element x y z (fractional)
Pd  0.669  0.831  0.500
Pd  0.331  0.169  0.500
Pd  0.831  0.331  0.500
Pd  0.169  0.669  0.500
Rh  0.372  0.872  0.000
Rh  0.628  0.128  0.000
Rh  0.872  0.628  0.000
Rh  0.128  0.372  0.000
Y  0.500  0.500  0.000
Y  0.000  0.000  0.000

Computed properties:
Relative energy among the computed polymorphs ... 0.000 eV/atom
Crystal system ... tetragonal

## B2TeBr (PBE-GGA)

Data for a geometry-optimized B2TeBr structure.

abc: 4.578 4.578 4.578
angles: 60.00 60.00 60.00
Element x y z (fractional)
B  0.250  0.250  0.250
B  0.750  0.750  0.750
Br  0.000  0.000  0.000
Te  0.500  0.500  0.500

Computed properties:
Relative energy among the computed polymorphs ... 0.440 eV/atom
Energy relative to the elements, uncorrected ... 1.834 eV per atom
Crystal system ... cubic

## NaGa2CoSb (PBE-GGA)

Data for a geometry-optimized NaGa2CoSb structure.

abc: 4.609 4.609 5.092
angles: 90.00 90.00 90.00
Element x y z (fractional)
Ga  0.500  0.000  0.000
Ga  0.000  0.500  0.000
Co  0.000  0.000  0.000
Na  0.500  0.500  0.500
Sb  0.000  0.000  0.500

Computed properties:
Energy relative to the elements, uncorrected ... -0.095 eV per atom
Crystal system ... tetragonal

## Sm3TeS6 (PBE-GGA)

Data for a geometry-optimized Sm3TeS6 structure.

abc: 6.815 8.696 8.696
angles: 103.22 90.00 90.00
Element x y z (fractional)
Sm  0.886  0.592  0.408
Sm  0.492  0.292  0.087
Sm  0.492  0.913  0.708
Sm  0.386  0.408  0.592
Sm  0.992  0.087  0.292
Sm  0.992  0.708  0.913
Te  0.968  0.163  0.837
Te  0.468  0.837  0.163
S  0.201  0.106  0.574
S  0.701  0.894  0.426
S  0.687  0.632  0.697
S  0.630  0.233  0.767
S  0.701  0.574  0.106
S  0.187  0.697  0.632
S  0.240  0.010  0.990
S  0.740  0.990  0.010
S  0.687  0.303  0.368
S  0.201  0.426  0.894
S  0.130  0.767  0.233
S  0.187  0.368  0.303

Computed properties:
Energy relative to the elements, uncorrected ... -1.450 eV per atom
Crystal system ... orthorhombic

## MgNi2Cl (PBE-GGA)

Data for a geometry-optimized MgNi2Cl structure.

abc: 5.789 5.789 5.789
angles: 145.13 145.13 50.14
Each line ends with the local moment (μB).
Element x y z (fractional)
Ni  0.500  0.500  0.000  0.58
Ni  0.000  0.000  0.000  0.58
Mg  0.750  0.250  0.500  -0.01
Cl  0.250  0.750  0.500  -0.01

Computed properties:
Relative energy among the computed polymorphs ... 0.307 eV/atom
Energy relative to the elements, uncorrected ... 0.137 eV per atom
Crystal system ... tetragonal

## CrPtW2 (PBE-GGA)

Data for a geometry-optimized CrPtW2 structure.

abc: 2.680 3.982 5.655
angles: 90.00 90.00 90.00
Each line ends with the local moment (μB).
Element x y z (fractional)
W  0.000  0.000  0.995  -0.01
W  0.500  0.500  0.262  -0.03
Pt  0.500  0.500  0.740  0.01
Cr  0.000  0.000  0.503  0.62

Computed properties:
Relative energy among the computed polymorphs ... 0.112 eV/atom
Crystal system ... orthorhombic

## NbVBi2 (PBE-GGA)

Data for a geometry-optimized NbVBi2 structure.

abc: 3.414 3.414 10.218
angles: 80.38 80.38 60.00
Each line ends with the local moment (μB).
Element x y z (fractional)
Bi  0.094  0.094  0.719  -0.01
Bi  0.906  0.906  0.281  -0.01
V  0.000  0.000  0.000  2.77
Nb  0.500  0.500  0.500  0.02

Computed properties:
Relative energy among the computed polymorphs ... 0.205 eV/atom
Crystal system ... trigonal

## Tb4Br5N (PBE-GGA)

Data for a geometry-optimized Tb4Br5N structure.

abc: 3.769 8.107 9.041
angles: 102.71 102.03 90.00
Element x y z (fractional)
Tb  0.001  0.801  0.003
Tb  0.364  0.931  0.727
Tb  0.636  0.069  0.273
Tb  0.999  0.199  0.997
Br  0.500  0.500  0.000
Br  0.830  0.177  0.660
Br  0.837  0.658  0.673
Br  0.163  0.342  0.327
Br  0.170  0.823  0.340
N  0.500  0.000  0.000

Computed properties:
Energy relative to the elements, uncorrected ... -1.601 eV per atom
Crystal system ... monoclinic

## Ga2SiPdSe (PBE-GGA)

Data for a geometry-optimized Ga2SiPdSe structure.

abc: 4.912 4.831 4.912
angles: 90.00 90.00 90.00
Element x y z (fractional)
Si  0.000  0.500  0.000
Se  0.000  0.000  0.000
Ga  0.500  0.000  0.000
Ga  0.000  0.000  0.500
Pd  0.500  0.500  0.500

Computed properties:
Energy relative to the elements, uncorrected ... 0.788 eV per atom
Crystal system ... tetragonal

## Ta3AgSb (PBE-GGA)

Data for a geometry-optimized Ta3AgSb structure.

abc: 5.015 5.015 5.015
angles: 90.00 90.00 90.00
Element x y z (fractional)
Ag  0.500  0.500  0.500
Ta  0.500  0.000  0.000
Ta  0.000  0.000  0.500
Ta  0.000  0.500  0.000
Sb  0.000  0.000  0.000

Computed properties:
Relative energy among the computed polymorphs ... 0.132 eV/atom
Energy relative to the elements, uncorrected ... 1.904 eV per atom
Crystal system ... cubic

## YBiSN2 (PBE-GGA)

Data for a geometry-optimized YBiSN2 structure.

abc: 4.339 4.339 5.390
angles: 90.00 90.00 90.00
Each line ends with the local moment (μB).
Element x y z (fractional)
N  0.000  0.500  0.000  0.33
N  0.500  0.000  0.000  0.33
Y  0.000  0.000  0.000  0.05
Bi  0.500  0.500  0.500  -0.08
S  0.000  0.000  0.500  0.01

Computed properties:
Relative energy among the computed polymorphs ... 0.024 eV/atom
Energy relative to the elements, uncorrected ... 0.534 eV per atom
Crystal system ... tetragonal

## Co2HIrRu (PBE-GGA)

Data for a geometry-optimized Co2HIrRu structure.

abc: 3.757 3.757 3.713
angles: 90.00 90.00 90.00
Each line ends with the local moment (μB).
Element x y z (fractional)
Ir  0.000  0.000  0.500  0.12
H  0.000  0.000  0.000  -0.01
Ru  0.500  0.500  0.500  0.40
Co  0.000  0.500  0.000  0.94
Co  0.500  0.000  0.000  0.94

Computed properties:
Relative energy among the computed polymorphs ... 0.047 eV/atom
Crystal system ... tetragonal

## HfTc2F (PBE-GGA)

Data for a geometry-optimized HfTc2F structure.

abc: 4.434 4.434 4.434
angles: 60.00 60.00 60.00
Element x y z (fractional)
Tc  0.750  0.750  0.750
Tc  0.250  0.250  0.250
F  0.000  0.000  0.000
Hf  0.500  0.500  0.500

Computed properties:
Relative energy among the computed polymorphs ... 0.419 eV/atom
Energy relative to the elements, uncorrected ... 0.355 eV per atom
Crystal system ... cubic

## Nd2Y2Ag (PBE-GGA)

Data for a geometry-optimized Nd2Y2Ag structure.

abc: 3.632 3.632 11.799
angles: 98.85 98.85 90.00
Element x y z (fractional)
Y  0.420  0.420  0.840
Y  0.580  0.580  0.160
Ag  0.000  0.000  0.000
Nd  0.807  0.807  0.614
Nd  0.193  0.193  0.386

Computed properties:
Total DFT energy (no corrections) ... -5.170 eV per atom
Crystal system ... tetragonal

## PaTl2CrS4 (PBE-GGA)

Data for a geometry-optimized PaTl2CrS4 structure.

abc: 3.819 6.213 10.081
angles: 124.89 90.00 90.00
Each line ends with the local moment (μB).
Element x y z (fractional)
S  0.000  0.852  0.181  -0.03
S  0.500  0.701  0.831  -0.06
S  0.000  0.148  0.819  -0.03
S  0.500  0.299  0.169  -0.06
Pa  0.500  0.500  0.000  0.44
Tl  0.500  0.000  0.500  0.00
Tl  0.000  0.500  0.500  0.00
Cr  0.000  0.000  0.000  3.06

Computed properties:
Energy relative to the elements, uncorrected ... -0.874 eV per atom
Crystal system ... monoclinic

## TmTl2P2Pt7 (PBE-GGA)

Data for a geometry-optimized TmTl2P2Pt7 structure.

abc: 3.978 3.978 15.268
angles: 82.44 82.44 90.00
Element x y z (fractional)
Pt  0.693  0.693  0.619
Pt  0.500  0.500  0.000
Pt  0.927  0.427  0.144
Pt  0.307  0.307  0.381
Pt  0.427  0.927  0.144
Pt  0.573  0.073  0.856
Pt  0.073  0.573  0.856
P  0.383  0.383  0.231
P  0.617  0.617  0.769
Tl  0.213  0.213  0.578
Tl  0.787  0.787  0.422
Tm  0.000  0.000  0.000

Computed properties:
Total DFT energy (no corrections) ... -5.782 eV per atom
Crystal system ... monoclinic

## BaAgRu (PBE-GGA)

Data for a geometry-optimized BaAgRu structure.

abc: 6.106 6.106 6.106
angles: 144.83 144.80 50.61
Element x y z (fractional)
Ag  0.047  0.047  0.000
Ru  0.621  0.621  0.000
Ba  0.332  0.332  0.000

Computed properties:
Relative energy among the computed polymorphs ... 0.029 eV/atom
Crystal system ... tetragonal

## AcTbErZn (PBE-GGA)

Data for a geometry-optimized AcTbErZn structure.

abc: 5.512 5.512 5.512
angles: 60.00 60.00 60.00
Element x y z (fractional)
Zn  0.750  0.750  0.750
Ac  0.250  0.250  0.250
Er  0.000  0.000  0.000
Tb  0.500  0.500  0.500

Computed properties:
Total DFT energy (no corrections) ... -3.448 eV per atom
Crystal system ... cubic

## YAsW2N (PBE-GGA)

Data for a geometry-optimized YAsW2N structure.

abc: 4.555 5.454 4.555
angles: 90.00 90.00 90.00
Element x y z (fractional)
W  0.000  0.000  0.500
W  0.500  0.000  0.000
As  0.000  0.000  0.000
Y  0.000  0.500  0.000
N  0.500  0.500  0.500

Computed properties:
Energy relative to the elements, uncorrected ... 1.946 eV per atom
Crystal system ... tetragonal

## NdEuAg4 (PBE-GGA)

Data for a geometry-optimized NdEuAg4 structure.

abc: 5.820 5.820 5.820
angles: 60.00 60.00 60.00
Each line ends with the local moment (μB).
Element x y z (fractional)
Ag  0.125  0.625  0.625  0.01
Ag  0.625  0.125  0.625  0.01
Ag  0.625  0.625  0.625  0.01
Ag  0.625  0.625  0.125  0.01
Nd  0.250  0.250  0.250  0.06
Eu  0.000  0.000  0.000  6.83

Computed properties:
Total DFT energy (no corrections) ... -4.587 eV per atom
Crystal system ... cubic

## Sr6Ca7 (PBE-GGA)

Data for a geometry-optimized Sr6Ca7 structure.

abc: 7.412 7.412 14.072
angles: 74.73 74.73 60.00
Element x y z (fractional)
Ca  0.411  0.909  0.771
Ca  0.909  0.909  0.771
Ca  0.909  0.411  0.771
Ca  0.000  0.000  0.000
Ca  0.589  0.091  0.229
Ca  0.091  0.091  0.229
Ca  0.091  0.589  0.229
Sr  0.350  0.350  0.951
Sr  0.833  0.833  0.500
Sr  0.452  0.452  0.644
Sr  0.650  0.650  0.049
Sr  0.167  0.167  0.500
Sr  0.548  0.548  0.356

Computed properties:
Total DFT energy (no corrections) ... -1.830 eV per atom
Crystal system ... trigonal

## ThNi2Pt2 (PBE-GGA)

Data for a geometry-optimized ThNi2Pt2 structure.

abc: 5.730 5.730 7.122
angles: 100.16 100.16 124.16
Element x y z (fractional)
Pt  0.779  0.221  0.000
Pt  0.029  0.971  0.500
Pt  0.221  0.779  0.000
Pt  0.471  0.529  0.500
Ni  0.159  0.659  0.317
Ni  0.341  0.841  0.683
Ni  0.091  0.091  0.183
Ni  0.909  0.909  0.817
Th  0.500  0.500  0.000
Th  0.750  0.250  0.500

Computed properties:
Total DFT energy (no corrections) ... -6.730 eV per atom
Crystal system ... orthorhombic

## HfCoH2 (PBE-GGA)

Data for a geometry-optimized HfCoH2 structure.

abc: 2.961 2.961 4.912
angles: 72.46 72.46 60.00
Element x y z (fractional)
H  0.272  0.272  0.183
H  0.728  0.728  0.817
Hf  0.500  0.500  0.500
Co  0.000  0.000  0.000

Computed properties:
Relative energy among the computed polymorphs ... 0.256 eV/atom
Crystal system ... trigonal

| no. | magnetic moment (μB/atom) |
| --- | --- |
| 1 | 1.091 |
| 2 | 0.000 |
| 3 | 0.000 |
| 4 | 0.000 |
| 5 | 0.000 |
| 6 | 0.000 |
| 7 | 0.265 |
| 8 | 0.154 |
| 9 | 0.909 |
| 10 | 0.000 |
| 11 | 0.000 |
| 12 | 0.000 |
| 13 | 0.171 |
| 14 | 0.471 |
| 15 | 0.000 |
| 16 | 0.000 |
| 17 | 0.456 |
| 18 | 0.000 |
| 19 | 0.001 |
| 20 | 0.000 |
| 21 | 0.000 |
| 22 | 1.213 |
| 23 | 0.044 |
| 24 | 0.000 |
| 25 | 0.000 |